This record from the Alexandria database describes ErThPd6 after structural relaxation. The functional is PBE-GGA.

```
ErThPd6
1.0
4.163 0.000 0.000
0.000 4.163 0.000
0.000 0.000 8.286
Er Th Pd
1 1 6
Cartesian
0.000 0.000 0.000
0.000 0.000 4.143
0.000 2.082 2.046
0.000 2.082 6.240
2.082 0.000 2.046
2.082 0.000 6.240
2.082 2.082 0.000
2.082 2.082 4.143
```


This record from the Alexandria database describes ErThPd5 after structural relaxation. The functional is PBE-GGA.

```
ErThPd5
1.0
4.146 0.000 0.000
0.000 4.146 0.000
0.000 0.000 8.282
Er Th Pd
1 1 5
Cartesian
0.000 0.000 0.000
2.073 2.073 4.141
0.000 0.000 4.141
0.000 2.073 2.009
0.000 2.073 6.273
2.073 0.000 2.009
2.073 0.000 6.273
```


This record from the Alexandria database describes Er2ThPd9 after structural relaxation. The functional is PBE-GGA.

```
Er2ThPd9
1.0
4.148 0.000 0.000
0.000 4.148 0.000
0.000 0.000 12.373
Er Th Pd
2 1 9
Cartesian
0.000 0.000 2.005
0.000 0.000 10.368
0.000 0.000 6.186
0.000 2.074 0.000
0.000 2.074 4.088
0.000 2.074 8.285
2.074 0.000 0.000
2.074 0.000 4.088
2.074 0.000 8.285
2.074 2.074 2.046
2.074 2.074 6.186
2.074 2.074 10.326
```


This record from the Alexandria database describes ErTh2Pd2 after structural relaxation. The functional is PBE-GGA.

```
ErTh2Pd2
1.0
8.065 0.000 0.000
0.000 8.065 0.000
0.000 0.000 3.890
Er Th Pd
2 4 4
Cartesian
0.000 0.000 0.000
4.032 4.032 0.000
1.397 2.635 1.945
2.635 6.668 1.945
5.429 1.397 1.945
6.668 5.429 1.945
1.030 5.063 0.000
3.002 1.030 0.000
5.063 7.034 0.000
7.034 3.002 0.000
```


This record from the Alexandria database describes ErThPd after structural relaxation. The functional is PBE-GGA.

```
ErThPd
1.0
3.622 0.000 0.000
0.000 3.622 0.000
0.000 0.000 11.788
Er Th Pd
2 2 2
Cartesian
0.000 0.000 0.000
1.811 1.811 5.894
0.000 0.000 8.352
1.811 1.811 2.458
0.000 0.000 4.180
1.811 1.811 10.074
```

* excess energy over the best structure of this formula in the dataset: 0 meV per atom


This record from the Alexandria database describes ErTh2Pd9 after structural relaxation. The functional is PBE-GGA.

```
ErTh2Pd9
1.0
4.185 0.000 0.000
0.000 4.185 0.000
0.000 0.000 12.508
Er Th Pd
1 2 9
Cartesian
0.000 0.000 0.000
0.000 0.000 4.102
0.000 0.000 8.406
0.000 2.093 2.047
0.000 2.093 6.254
0.000 2.093 10.461
2.093 0.000 2.047
2.093 0.000 6.254
2.093 0.000 10.461
2.093 2.093 0.000
2.093 2.093 4.159
2.093 2.093 8.350
```


This record from the Alexandria database describes ErThPd after structural relaxation. The functional is PBE-GGA.

```
ErThPd
1.0
4.854 0.000 0.000
-2.427 4.204 0.000
0.000 0.000 3.808
Er Th Pd
1 1 1
Cartesian
0.000 0.000 0.000
0.000 2.803 1.758
2.427 1.401 2.975
```

* excess energy over the best structure of this formula in the dataset: 179 meV per atom


This record from the Alexandria database describes ErThTlPd after structural relaxation. The functional is PBE-GGA.

```
ErThTlPd
1.0
7.435 0.000 0.000
0.000 7.435 0.000
0.000 0.000 7.435
Er Th Tl Pd
4 4 4 4
Cartesian
0.000 0.000 0.000
0.000 3.717 3.717
3.717 0.000 3.717
3.717 3.717 0.000
0.000 0.000 3.717
0.000 3.717 0.000
3.717 0.000 0.000
3.717 3.717 3.717
1.859 1.859 1.859
1.859 5.576 5.576
5.576 1.859 5.576
5.576 5.576 1.859
1.859 1.859 5.576
1.859 5.576 1.859
5.576 1.859 1.859
5.576 5.576 5.576
```


Number 1: density 12.00 Mg/m³, size of the total moment 0.00 μB per formula unit, calculated formation energy -0.97 eV per atom. Number 2: density 10.87 Mg/m³, size of the total moment 0.00 μB per formula unit, calculated formation energy -0.74 eV per atom. Number 3: density 11.89 Mg/m³, size of the total moment 0.00 μB per formula unit, calculated formation energy -0.94 eV per atom. Number 4: density 11.08 Mg/m³, size of the total moment 0.00 μB per formula unit, calculated formation energy -0.65 eV per atom. Number 5: density 10.86 Mg/m³, size of the total moment 0.00 μB per formula unit, calculated formation energy -0.47 eV per atom. Number 6: density 12.04 Mg/m³, size of the total moment 0.00 μB per formula unit, calculated formation energy -0.96 eV per atom. Number 7: density 10.81 Mg/m³, size of the total moment 0.00 μB per formula unit, calculated formation energy -0.29 eV per atom. Number 8: density 11.48 Mg/m³, size of the total moment 0.00 μB per formula unit, calculated formation energy -0.39 eV per atom.